[1]
# GaRuN2 (PBE, relaxed)
# Mass density (g/cm3): 7.113
# Density of states at the Fermi level (states/eV/cell): 8.24
# Raw total energy (eV/atom): -6.676
# Formation energy without anion corrections (meV per atom): 563
# Total magnetization (μB/cell): 0.00
data_GaRuN2
_cell_length_a 2.9729
_cell_length_b 2.9729
_cell_length_c 18.1907
_cell_angle_alpha 90.00
_cell_angle_beta 90.00
_cell_angle_gamma 120.00
_space_group_name_H-M_alt 'R -3 m'
_space_group_IT_number 166
_space_group_name_Hall '-R 3 2"'
loop_
_atom_site_label
_atom_site_type_symbol
_atom_site_fract_x
_atom_site_fract_y
_atom_site_fract_z
_atom_site_occupancy
Ga1 Ga 0.0000 0.0000 0.0000 1
Ru1 Ru 0.0000 0.0000 0.5000 1
N1 N 0.0000 0.0000 0.3970 1


[2]
# La6CoSn3 (PBE, relaxed)
# Mass density (g/cm3): 5.843
# Energy relative to the elements (eV per atom): -0.361
# Density of states at the Fermi level (states/eV/cell): 45.64
# Raw total energy (eV/atom): -5.229
# Total magnetization (μB/cell): 0.00
data_La6CoSn3
_cell_length_a 12.104
_cell_length_b 15.414
_cell_length_c 7.607
_cell_angle_alpha 90.00
_cell_angle_beta 90.00
_cell_angle_gamma 90.00
_space_group_name_H-M_alt 'C m c 21'
_space_group_IT_number 36
_space_group_name_Hall 'C 2c -2'
loop_
_atom_site_label
_atom_site_type_symbol
_atom_site_fract_x
_atom_site_fract_y
_atom_site_fract_z
_atom_site_occupancy
La1 La 0.000 0.011 0.000 1
La2 La 0.000 0.226 0.552 1
La3 La 0.149 0.477 0.544 1
La4 La 0.154 0.236 0.098 1
Co1 Co 0.000 0.145 0.248 1
Sn1 Sn 0.000 0.370 0.850 1
Sn2 Sn 0.188 0.108 0.755 1


[3]
# YTm2Ir9 (PBE, relaxed)
# Mass density (g/cm3): 16.869
# Energy relative to the elements (eV per atom): -0.595
# Density of states at the Fermi level (states/eV/cell): 36.96
# Raw total energy (eV/atom): -8.525
# Total magnetization (μB/cell): 0.00
data_YTm2Ir9
_cell_length_a 5.2931
_cell_length_b 5.2931
_cell_length_c 26.2499
_cell_angle_alpha 90.00
_cell_angle_beta 90.00
_cell_angle_gamma 120.00
_space_group_name_H-M_alt 'R -3 m'
_space_group_IT_number 166
_space_group_name_Hall '-R 3 2"'
loop_
_atom_site_label
_atom_site_type_symbol
_atom_site_fract_x
_atom_site_fract_y
_atom_site_fract_z
_atom_site_occupancy
Y1 Y 0.0000 0.0000 0.0000 1
Tm1 Tm 0.0000 0.0000 0.1394 1
Ir1 Ir 0.0000 0.0000 0.3330 1
Ir2 Ir 0.0000 0.0000 0.5000 1
Ir3 Ir 0.9998 0.4999 0.0827 1


[4]
# RbIn2IrAu (PBE, relaxed)
# Mass density (g/cm3): 7.986
# Energy relative to the elements (eV per atom): -0.102
# Density of states at the Fermi level (states/eV/cell): 1.54
# Raw total energy (eV/atom): -3.818
# Total magnetization (μB/cell): 0.00
data_RbIn2IrAu
_cell_length_a 5.159
_cell_length_b 5.159
_cell_length_c 5.502
_cell_angle_alpha 90.00
_cell_angle_beta 90.00
_cell_angle_gamma 90.00
_space_group_name_H-M_alt 'P 4/m m m'
_space_group_IT_number 123
_space_group_name_Hall '-P 4 2'
loop_
_atom_site_label
_atom_site_type_symbol
_atom_site_fract_x
_atom_site_fract_y
_atom_site_fract_z
_atom_site_occupancy
Rb1 Rb 0.000 0.000 0.000 1
In1 In 0.000 0.500 0.500 1
Ir1 Ir 0.500 0.500 0.500 1
Au1 Au 0.500 0.500 0.000 1


[5]
# BaPSN2 (PBE, relaxed)
# Mass density (g/cm3): 4.881
# Density of states at the Fermi level (states/eV/cell): 2.88
# Raw total energy (eV/atom): -5.237
# Formation energy without anion corrections (meV per atom): 385
# Total magnetization (μB/cell): 1.58
data_BaPSN2
_cell_length_a 4.084
_cell_length_b 4.084
_cell_length_c 4.658
_cell_angle_alpha 90.00
_cell_angle_beta 90.00
_cell_angle_gamma 90.00
_space_group_name_H-M_alt 'P 4/m m m'
_space_group_IT_number 123
_space_group_name_Hall '-P 4 2'
loop_
_atom_site_label
_atom_site_type_symbol
_atom_site_fract_x
_atom_site_fract_y
_atom_site_fract_z
_atom_site_occupancy
Ba1 Ba 0.000 0.000 0.000 1
P1 P 0.500 0.500 0.500 1
S1 S 0.500 0.500 0.000 1
N1 N 0.000 0.500 0.500 1


[6]
# Li5Mg3Br12 (PBE, relaxed)
# Mass density (g/cm3): 3.488
# Density of states at the Fermi level (states/eV/cell): 176.36
# Raw total energy (eV/atom): -2.918
# Formation energy without anion corrections (meV per atom): -1197
# Total magnetization (μB/cell): 0.00
data_Li5Mg3Br12
_cell_length_a 15.955
_cell_length_b 15.955
_cell_length_c 15.955
_cell_angle_alpha 90.00
_cell_angle_beta 90.00
_cell_angle_gamma 90.00
_space_group_name_H-M_alt 'I a -3 d'
_space_group_IT_number 230
_space_group_name_Hall '-I 4bd 2c 3'
loop_
_atom_site_label
_atom_site_type_symbol
_atom_site_fract_x
_atom_site_fract_y
_atom_site_fract_z
_atom_site_occupancy
Li1 Li 0.000 0.000 0.000 1
Li2 Li 0.000 0.250 0.375 1
Mg1 Mg 0.000 0.250 0.125 1
Br1 Br 0.026 0.067 0.654 1